## Ac2BeCrPd6 (PBE-GGA)

Data for crystalline Ac2BeCrPd6 at its relaxed geometry.

The calculation puts the density of states at the Fermi level at 0.36 states/eV/atom. As for the formation energy from the elements: -0.51 eV per atom. The calculation puts the calculated density at 9.47 g/cm3. The calculation puts the electronic total energy at -5.786 eV per atom.

It has space group P-1 (No. 2), with a = 6.044 Å, b = 6.047 Å, c = 7.266 Å, α = 65.48°, β = 65.64° and γ = 60.20°. Symmetry generates all atoms from Ac at (0.231, 0.230, 0.309), Be at (0.000, 0.000, 0.000), Cr at (0.500, 0.500, 0.500), Pd at (0.237, 0.238, 0.816), Pd at (0.237, 0.709, 0.817) and Pd at (0.293, 0.762, 0.183).

=====

## Cs2AcBeF6 (PBE-GGA)

Data for crystalline Cs2AcBeF6 at its relaxed geometry.

The calculation puts the density of states at the Fermi level at 0.13 states/eV/atom. As for the uncorrected formation energy: -2.979 eV/atom. The calculation puts the calculated density at 4.43 g/cm3. The calculation puts the electronic total energy at -5.056 eV per atom.

It has space group P-1 (No. 2), with a = 5.183 Å, b = 6.574 Å, c = 7.953 Å, α = 114.27°, β = 108.99° and γ = 90.01°. Symmetry generates all atoms from Cs at (0.200, 0.200, 0.400), Ac at (0.000, 0.500, 0.000), Be at (0.500, 0.000, 0.000), F at (0.178, 0.672, 0.355), F at (0.271, 0.174, 0.992) and F at (0.277, 0.827, 0.007).

=====

## CsAcBe2F8 (PBE-GGA)

Data for crystalline CsAcBe2F8 at its relaxed geometry.

The calculation puts the density of states at the Fermi level at 0.00 states/eV/atom. As for the uncorrected formation energy: -3.512 eV/atom. The calculation puts the calculated density at 4.10 g/cm3. The calculation puts the electronic total energy at -5.794 eV per atom.

It has space group R-3 (No. 148, hexagonal axes), with a = 5.3057 Å, b = 5.3057 Å, c = 26.3871 Å, α = 90.00°, β = 90.00° and γ = 120.00°. Symmetry generates all atoms from Cs at (0.0000, 0.0000, 0.0000), Ac at (0.0000, 0.0000, 0.5000), Be at (0.0000, 0.0000, 0.2455), F at (0.0000, 0.0000, 0.3021) and F at (0.0074, 0.7274, 0.7783).